[1]
Pa3Si3Ni2 | Alexandria | PBE | optimized geometry; energy relative to the elements, uncorrected = -0.645 eV/atom; magnetic moment = 0.000 μB per cell; E = -7.685 eV/atom
1.0
2.0529 -5.0388 0.0000
2.0529 5.0388 0.0000
0.0000 0.0000 13.9259
Pa Si Ni
6 6 4
Cartesian
2.0529 4.1899 8.5573
2.0529 4.1899 12.3316
2.0529 1.2970 10.4444
2.0529 -1.2970 3.4815
2.0529 -4.1899 1.5943
2.0529 -4.1899 5.3686
2.0529 1.6340 3.4815
2.0529 1.1980 7.5042
2.0529 1.1980 13.3846
2.0529 -1.1980 0.5413
2.0529 -1.1980 6.4217
2.0529 -1.6340 10.4444
2.0529 2.9128 1.3791
2.0529 2.9128 5.5839
2.0529 -2.9128 8.3420
2.0529 -2.9128 12.5468



[2]
SrPm3Au4 | Alexandria | PBE | optimized geometry; DFT formation energy = -0.752 eV/atom; magnetic moment = 0.000 μB per cell; E = -4.383 eV/atom
1.0
-3.7201 3.7201 3.7201
3.7201 -3.7201 3.7201
3.7201 3.7201 -3.7201
Sr Pm Au
1 3 4
Cartesian
0.0000 0.0000 0.0000
3.7201 0.0000 0.0000
0.0000 3.7201 0.0000
0.0000 0.0000 3.7201
1.8601 1.8601 -1.8601
1.8601 -1.8601 1.8601
-1.8601 1.8601 1.8601
1.8601 1.8601 1.8601